Run P
4
Lattice="-3.0910 -0.0325 -0.4026 -0.1546 -2.7754 1.4108 -0.9741 3.7043 7.1804" Properties=species:S:1:pos:R:3 comment="CoAuCl2 PBE relaxed" rho_g_cm3=6.86 pbc="T T T"
Au -2.3219 1.2545 5.6572
Cl -0.9054 3.4432 6.6742
Co -0.4935 1.8768 3.6380
Cl -1.9600 -0.1215 2.9899

Run Q
4
Lattice="-0.6534 2.1954 1.8906 -2.7293 0.1838 -1.1567 -3.3413 -6.8470 6.7960" Properties=species:S:1:pos:R:3 comment="CoAuCl2 PBE relaxed" rho_g_cm3=6.03 pbc="T T T"
Cl -0.3454 -0.7078 0.7025
Au -4.1973 -3.9456 5.4639
Cl -1.3252 -2.7157 2.6955
Co -2.5267 -0.5222 2.0660

How far above the most stable structure does each one sit? In meV per atom: run P 0; run Q 36.

Run P
4
Lattice="-2.3978 0.6931 -2.0791 2.8799 -1.1934 -0.9131 -3.6022 -9.4586 1.0012" Properties=species:S:1:pos:R:3 comment="CoAuCl2 PBE relaxed" rho_g_cm3=6.07 pbc="T T T"
Co -0.6595 -2.6148 -1.2458
Cl -0.3497 -0.9182 0.0972
Au -2.4605 -7.3441 -0.7452
Cl -1.4514 -3.8111 0.4034

Run Q
8
Lattice="-2.0166 -3.9457 4.2252 2.6003 -4.6157 -3.0694 4.4187 -3.6545 3.1324" Properties=species:S:1:pos:R:3 comment="CoAuCl2 PBE relaxed" rho_g_cm3=5.92 pbc="T T T"
Co 0.2919 -4.2807 0.5779
Cl 0.2924 -3.7158 2.7823
Cl 3.6660 -9.9504 3.5480
Au 1.3469 -5.9405 3.9677
Co 3.6554 -6.2755 0.3205
Cl 3.6916 -6.2332 2.5954
Cl 2.3547 -4.5325 -0.3492
Au 0.0000 0.0000 0.0000

Run R
4
Lattice="-0.6549 -4.0417 2.2910 3.6689 -2.2787 1.8328 0.5651 -0.1766 4.6542" Properties=species:S:1:pos:R:3 comment="CoAuCl2 PBE relaxed" rho_g_cm3=7.43 pbc="T T T"
Au 1.7896 -3.2485 4.3890
Cl 0.8948 -1.6242 2.1945
Cl 0.0000 0.0000 0.0000
Co 2.6844 -4.8727 6.5835

Run S
4
Lattice="1.8387 0.0000 9.8823 -0.9194 1.5924 9.8823 -0.9194 -1.5924 9.8823" Properties=species:S:1:pos:R:3 comment="CoAuCl2 PBE relaxed" rho_g_cm3=6.25 pbc="T T T"
Co 0.0000 0.0000 14.8235
Au 0.0000 0.0000 0.0000
Cl 0.0000 0.0000 26.0665
Cl 0.0000 0.0000 3.5805

How far above the most stable structure does each one sit? In meV per atom: run P 83; run Q 150; run R 617; run S 0.

Run P
12
Lattice="5.8395 -0.3232 0.1515 0.3256 6.2782 2.6590 -0.2194 -0.1286 9.0917" Properties=species:S:1:pos:R:3 comment="CoAuCl4 PBE relaxed" rho_g_cm3=3.92 pbc="T T T"
Co 1.6383 5.8125 8.0043
Co 4.3074 0.0139 3.8980
Cl 0.6052 5.3383 6.0476
Cl 5.3405 0.4880 5.8547
Cl 2.1850 0.0331 7.4033
Au 1.4032 2.0556 8.1422
Cl 0.6152 4.0253 9.0067
Cl 3.4575 4.6001 7.4931
Cl 2.4882 1.2262 4.4092
Au 4.5425 3.7708 3.7600
Cl 3.7607 5.7933 4.4990
Cl 5.3305 1.8010 2.8956

Run Q
6
Lattice="0.0000 4.0987 4.0987 4.0987 0.0000 4.0987 4.0987 4.0987 0.0000" Properties=species:S:1:pos:R:3 comment="CoAuCl4 PBE relaxed" rho_g_cm3=4.80 pbc="T T T"
Cl 5.1217 5.1217 3.0756
Cl 5.1217 3.0756 5.1217
Cl 3.0756 5.1217 5.1217
Co 6.1480 6.1480 6.1480
Cl 3.0756 3.0756 3.0756
Au 0.0000 0.0000 0.0000

How far above the most stable structure does each one sit? In meV per atom: run P 0; run Q 1507.

Run P
5
Lattice="4.8106 0.0000 0.0000 0.0000 4.8106 0.0000 0.0000 0.0000 4.8106" Properties=species:S:1:pos:R:3 comment="Co3AuCl PBE relaxed" rho_g_cm3=6.10 pbc="T T T"
Cl 2.4053 2.4053 2.4053
Au 0.0000 0.0000 0.0000
Co 0.0000 0.0000 2.4053
Co 2.4053 0.0000 0.0000
Co 0.0000 2.4053 0.0000

Run Q
5
Lattice="-3.8860 -0.9543 1.0196 0.8729 -4.0132 -0.4291 1.0901 -0.1883 3.9784" Properties=species:S:1:pos:R:3 comment="Co3AuCl PBE relaxed" rho_g_cm3=9.65 pbc="T T T"
Co -1.9430 -0.4772 0.5098
Co 0.5450 -0.0941 1.9892
Co 0.4365 -2.0066 -0.2146
Au -0.9615 -2.5779 2.2845
Cl 0.0000 0.0000 0.0000

How far above the most stable structure does each one sit? In meV per atom: run P 691; run Q 0.

Run P
5
Lattice="-0.3908 4.8376 -0.8321 -2.0394 -0.9193 -4.3867 -4.4649 -0.0035 2.0765" Properties=species:S:1:pos:R:3 comment="CoAu3Cl PBE relaxed" rho_g_cm3=9.53 pbc="T T T"
Au -2.2325 -0.0017 1.0383
Au -0.1954 2.4188 -0.4161
Au -1.0197 -0.4596 -2.1933
Cl 0.0000 0.0000 0.0000
Co -3.4476 1.9574 -1.5711

Run Q
5
Lattice="4.8313 0.0000 0.0000 0.0000 4.8313 0.0000 0.0000 0.0000 4.8313" Properties=species:S:1:pos:R:3 comment="CoAu3Cl PBE relaxed" rho_g_cm3=10.09 pbc="T T T"
Co 0.0000 0.0000 0.0000
Cl 2.4156 2.4156 2.4156
Au 0.0000 2.4156 0.0000
Au 2.4156 0.0000 0.0000
Au 0.0000 0.0000 2.4156

How far above the most stable structure does each one sit? In meV per atom: run P 600; run Q 0.

Run P
5
Lattice="4.4666 0.0000 0.0000 0.0000 4.8138 0.0000 0.0000 0.0000 4.4666" Properties=species:S:1:pos:R:3 comment="FeCo2AuCl PBE relaxed" rho_g_cm3=7.02 pbc="T T T"
Co 2.2333 0.0000 0.0000
Co 0.0000 0.0000 2.2333
Cl 2.2333 2.4069 2.2333
Au 0.0000 2.4069 0.0000
Fe 0.0000 0.0000 0.0000

Run Q
5
Lattice="4.5376 0.0000 0.0000 0.0000 4.1802 0.0000 0.0000 0.0000 4.5376" Properties=species:S:1:pos:R:3 comment="FeCo2AuCl PBE relaxed" rho_g_cm3=7.84 pbc="T T T"
Fe 0.0000 0.0000 0.0000
Co 0.0000 0.0000 2.2688
Co 2.2688 0.0000 0.0000
Au 2.2688 2.0901 2.2688
Cl 0.0000 2.0901 0.0000

How far above the most stable structure does each one sit? In meV per atom: run P 129; run Q 0.